[1]
VASP calculation (PBE) on a relaxed structure of KSr2Sb.

Lattice parameters (Å, degrees): 8.4324 8.4324 8.4324 101.30 101.30 127.46
With the nearest neighbours (Å) after each atom.
Sites, in units of the cell vectors:
K (0.0000, 0.0000, 0.0000)  2 Sb 3.73
K (0.7500, 0.2500, 0.5000)  2 Sb 3.73
Sr (0.2233, 0.1250, 0.5983)  2 Sb 3.26
Sr (0.3750, 0.7767, 0.9017)  2 Sb 3.26
Sr (0.5267, 0.6250, 0.4017)  2 Sb 3.26
Sr (0.8750, 0.4733, 0.0983)  2 Sb 3.26
Sb (0.2500, 0.7500, 0.5000)  4 Sr 3.26
Sb (0.5000, 0.5000, 0.0000)  4 Sr 3.26


[2]
VASP calculation (PBE) on a relaxed structure of Sm5Hg2PdRh2.

Results
The calculation puts the energy of formation from the pure elements at -0.58 eV per atom.

Lattice parameters (Å, degrees): 11.7106 11.7106 3.7070 90.00 90.00 90.00
With the nearest neighbours (Å) after each atom.
Sites, in units of the cell vectors:
Sm (0.0000, 0.5000, 0.0000)  4 Rh 2.88
Sm (0.0837, 0.1945, 0.0000)  2 Rh 2.80, 2 Pd 3.10
Sm (0.1945, 0.9163, 0.0000)  2 Rh 2.80, 2 Pd 3.10
Sm (0.3055, 0.4163, 0.0000)  2 Rh 2.80, 2 Pd 3.10
Sm (0.4163, 0.6945, 0.0000)  2 Rh 2.80, 2 Pd 3.10
Sm (0.5000, 0.0000, 0.0000)  4 Rh 2.88
Sm (0.5837, 0.3055, 0.0000)  2 Rh 2.80, 2 Pd 3.10
Sm (0.6945, 0.5837, 0.0000)  2 Rh 2.80, 2 Pd 3.10
Sm (0.8055, 0.0837, 0.0000)  2 Rh 2.80, 2 Pd 3.10
Sm (0.9163, 0.8055, 0.0000)  2 Rh 2.80, 2 Pd 3.10
Hg (0.1720, 0.6720, 0.5000)  3 Rh 3.23-3.60, 6 Sm 3.40-3.42
Hg (0.3280, 0.1720, 0.5000)  3 Rh 3.23-3.60, 6 Sm 3.40-3.42
Hg (0.6720, 0.8280, 0.5000)  3 Rh 3.23-3.60, 6 Sm 3.40-3.42
Hg (0.8280, 0.3280, 0.5000)  3 Rh 3.23-3.60, 6 Sm 3.40-3.42
Pd (0.0000, 0.0000, 0.5000)  8 Sm 3.10
Pd (0.5000, 0.5000, 0.5000)  8 Sm 3.10
Rh (0.1328, 0.3671, 0.5000)  6 Sm 2.80-2.88
Rh (0.3671, 0.8672, 0.5000)  6 Sm 2.80-2.88
Rh (0.6328, 0.1328, 0.5000)  6 Sm 2.80-2.88
Rh (0.8672, 0.6328, 0.5000)  6 Sm 2.80-2.88


[3]
VASP calculation (PBE) on a relaxed structure of InTeIN2.

Results
The calculation puts the energy above the most stable polymorph in this dataset at 0 meV/atom.

Lattice parameters (Å, degrees): 4.2913 4.2913 6.9338 90.00 90.00 90.00
With the nearest neighbours (Å) after each atom.
Sites, in units of the cell vectors:
In (0.0000, 0.0000, 0.0000)  4 I 3.03
Te (0.5000, 0.5000, 0.5000)  4 N 2.15
I (0.5000, 0.5000, 0.0000)  4 In 3.03
N (0.0000, 0.5000, 0.5000)  2 Te 2.15
N (0.5000, 0.0000, 0.5000)  2 Te 2.15


[4]
VASP calculation (PBE) on a relaxed structure of Li2HgAs.

Results
The calculation puts the energy of formation from the pure elements at -0.31 eV per atom.

Lattice parameters (Å, degrees): 3.6132 3.6132 5.6520 90.00 90.00 90.00
With the nearest neighbours (Å) after each atom.
Sites, in units of the cell vectors:
Li (0.0000, 0.0000, 0.0000)  2 As 2.73-2.92, 4 Hg 2.79, 4 Li 3.05
Li (0.5000, 0.5000, 0.2944)  4 As 2.77, 2 Hg 2.78-2.87, 4 Li 3.05
Hg (0.5000, 0.5000, 0.8018)  6 Li 2.78-2.87
As (0.0000, 0.0000, 0.4835)  6 Li 2.73-2.92


[5]
VASP calculation (PBE) on a relaxed structure of YSc2Re.

Results
The calculation puts the energy of formation from the pure elements at 0.03 eV per atom. The calculation puts the energy above the most stable polymorph in this dataset at 20 meV/atom.

Lattice parameters (Å, degrees): 5.9456 5.9456 5.9456 146.04 128.64 63.01
With the nearest neighbours (Å) after each atom.
Sites, in units of the cell vectors:
Y (0.0000, 0.0000, 0.0000)  4 Re 3.11, 8 Sc 3.30-3.47, 2 Y 3.47
Sc (0.2961, 0.7961, 0.5000)  2 Re 2.70
Sc (0.7039, 0.2039, 0.5000)  2 Re 2.70
Re (0.5000, 0.5000, 0.0000)  4 Sc 2.70


[6]
VASP calculation (PBE) on a relaxed structure of HfAlRh2.

Results
The calculation puts the energy of formation from the pure elements at -0.98 eV per atom.

Lattice parameters (Å, degrees): 3.2378 3.2378 5.9925 90.00 90.00 90.00
With the nearest neighbours (Å) after each atom.
Sites, in units of the cell vectors:
Hf (0.0000, 0.0000, 0.0000)  8 Rh 2.77, 2 Al 3.00
Al (0.0000, 0.0000, 0.5000)  8 Rh 2.70, 2 Hf 3.00
Rh (0.5000, 0.5000, 0.2603)  4 Al 2.70, 4 Hf 2.77, 1 Rh 2.87
Rh (0.5000, 0.5000, 0.7397)  4 Al 2.70, 4 Hf 2.77, 1 Rh 2.87


[7]
VASP calculation (PBE) on a relaxed structure of Ho5AlIn.

Results
The calculation puts the energy of formation from the pure elements at -0.09 eV per atom.

Lattice parameters (Å, degrees): 6.0046 6.0046 11.2810 98.83 98.83 91.20
With the nearest neighbours (Å) after each atom.
Sites, in units of the cell vectors:
Ho (0.0115, 0.5770, 0.1535)  2 In 3.24-3.33, 5 Ho 3.27-3.58, 2 Al 3.28-3.62
Ho (0.1098, 0.8902, 0.7500)  2 Al 2.97, 1 In 3.10, 2 Ho 3.27
Ho (0.2361, 0.5274, 0.4668)  2 Ho 3.07-3.18, 1 Al 3.19, 2 In 3.21-3.29
Ho (0.4230, 0.9885, 0.3465)  2 In 3.24-3.33, 5 Ho 3.27-3.58, 2 Al 3.28-3.62
Ho (0.4726, 0.7639, 0.0332)  2 Ho 3.07-3.18, 1 Al 3.19, 2 In 3.21-3.29
Ho (0.5274, 0.2361, 0.9668)  2 Ho 3.07-3.18, 1 Al 3.19, 2 In 3.21-3.29
Ho (0.5770, 0.0115, 0.6535)  2 In 3.24-3.33, 5 Ho 3.27-3.58, 2 Al 3.28-3.62
Ho (0.7639, 0.4726, 0.5332)  2 Ho 3.07-3.18, 1 Al 3.19, 2 In 3.21-3.29
Ho (0.8902, 0.1098, 0.2500)  2 Al 2.97, 1 In 3.10, 2 Ho 3.27
Ho (0.9885, 0.4230, 0.8465)  2 In 3.24-3.33, 5 Ho 3.27-3.58, 2 Al 3.28-3.62
Al (0.0000, 0.0000, 0.0000)  6 Ho 2.97-3.28
Al (0.0000, 0.0000, 0.5000)  6 Ho 2.97-3.28
In (0.4713, 0.5287, 0.7500)  9 Ho 3.10-3.33
In (0.5287, 0.4713, 0.2500)  9 Ho 3.10-3.33


[8]
VASP calculation (PBE) on a relaxed structure of Nd6Sn2Te.

Lattice parameters (Å, degrees): 8.6162 8.6162 4.4379 90.00 90.00 120.00
With the nearest neighbours (Å) after each atom.
Sites, in units of the cell vectors:
Nd (0.0000, 0.2666, 0.0000)  2 Te 3.19, 2 Sn 3.20
Nd (0.0000, 0.5936, 0.5000)  4 Sn 3.43, 1 Te 3.50, 6 Nd 3.59-3.80
Nd (0.2666, 0.0000, 0.0000)  2 Te 3.19, 2 Sn 3.20
Nd (0.4064, 0.4064, 0.5000)  4 Sn 3.43, 1 Te 3.50, 6 Nd 3.59-3.80
Nd (0.5936, 0.0000, 0.5000)  4 Sn 3.43, 1 Te 3.50, 6 Nd 3.59-3.80
Nd (0.7334, 0.7334, 0.0000)  2 Te 3.19, 2 Sn 3.20
Sn (0.3333, 0.6667, 0.0000)  9 Nd 3.20-3.43
Sn (0.6667, 0.3333, 0.0000)  9 Nd 3.20-3.43
Te (0.0000, 0.0000, 0.5000)  9 Nd 3.19-3.50


[9]
VASP calculation (PBE) on a relaxed structure of Hf4GaRu.

Results
The calculation puts the energy of formation from the pure elements at -0.15 eV per atom.

Lattice parameters (Å, degrees): 5.3854 3.2793 6.7664 90.00 91.79 90.00
With the nearest neighbours (Å) after each atom.
Sites, in units of the cell vectors:
Hf (0.1648, 0.0000, 0.3142)  2 Ru 2.81, 1 Ga 2.83, 5 Hf 3.09-3.13
Hf (0.3301, 0.5000, 0.6830)  1 Ru 2.83, 2 Ga 2.83, 5 Hf 3.09-3.13
Hf (0.6699, 0.5000, 0.3170)  1 Ru 2.83, 2 Ga 2.83, 5 Hf 3.09-3.13
Hf (0.8352, 0.0000, 0.6858)  2 Ru 2.81, 1 Ga 2.83, 5 Hf 3.09-3.13
Ga (0.5000, 0.0000, 0.0000)  6 Hf 2.83, 4 Ru 3.15
Ru (0.0000, 0.5000, 0.0000)  6 Hf 2.81-2.83


[10]
VASP calculation (PBE) on a relaxed structure of LaZnTc2.

Results
The calculation puts the energy of formation from the pure elements at 0.34 eV per atom.

Lattice parameters (Å, degrees): 4.0041 4.6483 4.6066 90.00 98.49 90.00
With the nearest neighbours (Å) after each atom.
Sites, in units of the cell vectors:
La (0.0000, 0.0000, 0.0000)  2 Zn 2.82, 4 Tc 3.14
Zn (0.5000, 0.0000, 0.5000)  4 Tc 2.61, 2 La 2.82
Tc (0.2825, 0.5000, 0.6477)  2 Tc 2.36-2.46, 2 Zn 2.61
Tc (0.7175, 0.5000, 0.3523)  2 Tc 2.36-2.46, 2 Zn 2.61


[11]
VASP calculation (PBE) on a relaxed structure of LaPr2Dy5Th.

Results
The calculation puts the energy of formation from the pure elements at 0.16 eV per atom.

Lattice parameters (Å, degrees): 10.4154 10.4154 10.6691 90.00 90.00 148.37
With the nearest neighbours (Å) after each atom.
Sites, in units of the cell vectors:
La (0.0840, 0.9160, 0.5000)  5 Dy 3.10-3.30
La (0.9160, 0.0840, 0.0000)  5 Dy 3.10-3.30
Pr (0.3843, 0.6157, 0.7775)  7 Dy 3.42-3.75, 1 Th 3.49, 2 La 3.75
Pr (0.3858, 0.6142, 0.3672)  9 Dy 3.29-3.68
Pr (0.6142, 0.3858, 0.8672)  9 Dy 3.29-3.68
Pr (0.6157, 0.3843, 0.2775)  7 Dy 3.42-3.75, 1 Th 3.49, 2 La 3.75
Dy (0.0197, 0.9803, 0.7847)  2 La 3.10-3.30
Dy (0.1129, 0.8871, 0.0711)  6 Dy 3.50-3.84, 4 Pr 3.58-3.59, 1 Th 3.68
Dy (0.2033, 0.7967, 0.7568)  4 Dy 3.41-3.81, 3 Th 3.53-3.74, 3 Pr 3.56-3.63, 1 La 3.64
Dy (0.2218, 0.7782, 0.3634)  1 La 3.12, 1 Pr 3.29, 2 Dy 3.41
Dy (0.4835, 0.5165, 0.0750)  2 La 3.24, 2 Pr 3.42-3.43, 2 Dy 3.61
Dy (0.5165, 0.4835, 0.5750)  2 La 3.24, 2 Pr 3.42-3.43, 2 Dy 3.61
Dy (0.7782, 0.2218, 0.8634)  1 La 3.12, 1 Pr 3.29, 2 Dy 3.41
Dy (0.7967, 0.2033, 0.2568)  4 Dy 3.41-3.81, 3 Th 3.53-3.74, 3 Pr 3.56-3.63, 1 La 3.64
Dy (0.8871, 0.1129, 0.5711)  6 Dy 3.50-3.84, 4 Pr 3.58-3.59, 1 Th 3.68
Dy (0.9803, 0.0197, 0.2847)  2 La 3.10-3.30
Th (0.2964, 0.7036, 0.0603)  2 Pr 3.49-3.73, 8 Dy 3.53-3.75, 2 La 3.77
Th (0.7036, 0.2964, 0.5603)  2 Pr 3.49-3.73, 8 Dy 3.53-3.75, 2 La 3.77


[12]
VASP calculation (PBE) on a relaxed structure of KScZn2.

Results
The calculation puts the energy of formation from the pure elements at 0.19 eV per atom. The calculation puts the energy above the most stable polymorph in this dataset at 202 meV/atom.

Lattice parameters (Å, degrees): 6.3095 6.3095 6.3095 150.75 129.50 59.43
With the nearest neighbours (Å) after each atom.
Sites, in units of the cell vectors:
K (0.0000, 0.0000, 0.0000)  6 Zn 3.15-3.37, 2 K 3.19, 2 Sc 3.43
Sc (0.3056, 0.8056, 0.5000)  6 Zn 2.98-3.24, 2 Sc 3.19
Zn (0.5356, 0.5356, 0.0000)  2 Zn 2.65
Zn (0.7289, 0.2289, 0.5000)  2 Zn 2.65


Number 1: DFT total energy -2.48 eV/atom. Number 2: DFT total energy -4.99 eV/atom. Number 3: DFT total energy -3.53 eV/atom. Number 4: DFT total energy -2.51 eV/atom. Number 5: DFT total energy -7.86 eV/atom. Number 6: DFT total energy -8.08 eV/atom. Number 7: DFT total energy -4.29 eV/atom. Number 8: DFT total energy -5.10 eV/atom. Number 9: DFT total energy -8.84 eV/atom. Number 10: DFT total energy -6.39 eV/atom. Number 11: DFT total energy -4.83 eV/atom. Number 12: DFT total energy -2.30 eV/atom.